(1)
Below is a geometry-optimized PmIn3Se6 structure, with properties calculated at the PBE-GGA level.

Output
For the final energy, the calculation gives -84.2 eV per cell. As for the space group: P2_1/m. As for the raw formation energy: -823.4 meV per atom.

Cell: 4.1062 11.9454 11.5083 Å, 112.10 90.00 90.00°
Sites, in units of the cell vectors:
Se1 0.2500 0.6044 0.9397
Se2 0.7500 0.9294 0.0878
Se3 0.7500 0.3956 0.0603
In1 0.7500 0.4421 0.8336
Pm1 0.7500 0.0526 0.7056
Se4 0.2500 0.2005 0.2631
Se5 0.2500 0.0706 0.9122
Se6 0.7500 0.7995 0.7369
Se7 0.2500 0.5464 0.3965
Se8 0.2500 0.2563 0.7418
In2 0.2500 0.5579 0.1664
Se9 0.7500 0.1019 0.4653
In3 0.7500 0.7053 0.4770
Se10 0.7500 0.4536 0.6035
Se11 0.7500 0.7437 0.2582
In4 0.2500 0.2947 0.5230
Pm2 0.2500 0.9474 0.2944
In5 0.2500 0.8307 0.9018
Se12 0.2500 0.8981 0.5347
In6 0.7500 0.1693 0.0982

(2)
Below is a geometry-optimized KCr2Pb structure, with properties calculated at the PBE-GGA level.

Output
For the final energy, the calculation gives -20.6 eV per cell. For the energy of formation, the calculation gives 870 meV per atom. As for the space group: C2/m.

Cell: 5.1143 5.1143 7.1093 Å, 82.41 82.41 39.76°
Last column: magnetic moment on the atom in μB.
Sites, in units of the cell vectors:
Pb1 0.2500 0.2500 0.2500  -0.11
Cr1 0.9818 0.9818 0.0881  3.94
K1 0.7500 0.7500 0.7500  0.03
Cr2 0.5182 0.5182 0.4119  3.94

(3)
Below is a geometry-optimized TaCuRu2 structure, with properties calculated at the PBE-GGA level.

Output
For the final energy, the calculation gives -35.0 eV per cell. For the energy of formation, the calculation gives -132 meV per atom. As for the space group: P4/mmm.

Cell: 3.1683 3.1683 5.7978 Å, 90.00 90.00 90.00°
Sites, in units of the cell vectors:
Ru1 0.0000 0.0000 0.5130
Cu1 0.5000 0.5000 0.7500
Ru2 0.0000 0.0000 0.9870
Ta1 0.5000 0.5000 0.2500

(4)
Below is a geometry-optimized MgTl structure, with properties calculated at the PBE-GGA level.

Output
For the final energy, the calculation gives -8.0 eV per cell. For the energy of formation, the calculation gives -8 meV per atom. As for the space group: I4_1/amd.

Cell: 5.9637 5.9637 5.9637 Å, 136.07 136.07 63.87°
Sites, in units of the cell vectors:
Tl1 0.7500 0.2500 0.5000
Mg1 0.2500 0.7500 0.5000
Mg2 0.0000 0.0000 0.0000
Tl2 0.5000 0.5000 0.0000

(5)
Below is a geometry-optimized LiZr4In5 structure, with properties calculated at the PBE-GGA level.

Output
For the final energy, the calculation gives -52.9 eV per cell. For the energy of formation, the calculation gives -311 meV per atom. As for the space group: P4/mmm.

Cell: 3.1969 3.1969 20.9321 Å, 90.00 90.00 90.00°
Sites, in units of the cell vectors:
In1 0.5000 0.5000 0.5000
Li1 0.0000 0.0000 0.0000
In2 0.5000 0.5000 0.9163
In3 0.5000 0.5000 0.7091
Zr1 0.0000 0.0000 0.6052
In4 0.5000 0.5000 0.0837
Zr2 0.0000 0.0000 0.1861
In5 0.5000 0.5000 0.2909
Zr3 0.0000 0.0000 0.8139
Zr4 0.0000 0.0000 0.3948

(6)
Below is a geometry-optimized Dy2Y6Er3Tm structure, with properties calculated at the PBE-GGA level.

Output
For the final energy, the calculation gives -65.8 eV per cell. For the energy of formation, the calculation gives 25 meV per atom. As for the space group: C2/m.

Cell: 6.1333 6.1333 11.7501 Å, 94.98 94.98 119.94°
Sites, in units of the cell vectors:
Y1 0.5833 0.9164 0.7495
Y2 0.4167 0.0836 0.2505
Dy1 0.6667 0.3333 0.0000
Y3 0.0836 0.4167 0.2505
Y4 0.2494 0.2494 0.7495
Y5 0.9164 0.5833 0.7495
Er1 0.5000 0.5000 0.5000
Dy2 0.3333 0.6667 0.0000
Er2 0.8335 0.1665 0.5000
Y6 0.7506 0.7506 0.2505
Er3 0.1665 0.8335 0.5000
Tm1 0.0000 0.0000 0.0000

(7)
Below is a geometry-optimized Al5Ni structure, with properties calculated at the PBE-GGA level.

Output
For the final energy, the calculation gives -25.7 eV per cell. For the energy of formation, the calculation gives -203 meV per atom. As for the space group: P4/mmm.

Cell: 2.8006 2.8006 11.5025 Å, 90.00 90.00 90.00°
Sites, in units of the cell vectors:
Al1 0.0000 0.0000 0.5000
Al2 0.0000 0.0000 0.8666
Al3 0.5000 0.5000 0.3162
Ni1 0.5000 0.5000 0.0000
Al4 0.5000 0.5000 0.6838
Al5 0.0000 0.0000 0.1334

(8)
Below is a geometry-optimized Au7C5 structure, with properties calculated at the PBE-GGA level.

Output
For the final energy, the calculation gives -50.5 eV per cell. For the energy of formation, the calculation gives 1547 meV per atom. As for the space group: I4mm.

Cell: 7.2684 7.2684 7.2684 Å, 98.79 98.79 133.99°
Sites, in units of the cell vectors:
Au1 0.4313 0.4313 0.0000
Au2 0.4821 0.9821 0.5000
Au3 0.9834 0.7301 0.2533
C1 0.8505 0.0653 0.0000
C2 0.8505 0.8505 0.7852
Au4 0.4768 0.7301 0.7467
Au5 0.9821 0.4821 0.5000
Au6 0.7301 0.9834 0.2533
C3 0.0653 0.0653 0.2148
C4 0.0526 0.0526 0.0000
C5 0.0653 0.8505 0.0000
Au7 0.7301 0.4768 0.7467